An optimized crystal structure of VAuI2F, computed with PBE with a Hubbard U.

abc: 5.379 5.169 5.379
angles: 90.00 90.00 90.00
Element x y z (fractional)
Au 0.000 0.500 0.000
I 0.000 0.000 0.500
V 0.000 0.000 0.000
I 0.500 0.000 0.000
F 0.500 0.500 0.500

- Density of states at the Fermi level: 10.5 states/eV/f.u.
- Space-group type: P4/mmm
- VASP energy: -2.861 eV/atom
- Mass density: 5.8 g/cm3